The following is a GGA-PBE calculation of an optimized crystal structure of KCo3P5, from the Open Quantum Materials Database.

Cell: 4.8393 4.8393 8.0259 Å, 90.00 90.00 120.00°
Atoms (fractional coordinates):
P1 0.6667 0.3333 0.2757
P2 0.6667 0.3333 0.7243
K1 0.0000 0.0000 0.0000
P3 0.3333 0.6667 0.2757
P4 0.3333 0.6667 0.7243
P5 0.0000 0.0000 0.5000
Co1 0.5000 0.0000 0.5000
Co2 0.5000 0.5000 0.5000
Co3 0.0000 0.5000 0.5000

Summary:
DFT total energy: -50.894 eV per cell
M_tot: 0.996 μB per cell
Symmetry: P6/mmm
Theoretical density: 3782 kg/m³

=====

The following is a GGA-PBE calculation of an optimized crystal structure of K4CoP2S8, from the Open Quantum Materials Database.

Cell: 6.4276 6.9335 9.0567 Å, 86.48 82.04 84.73°
Atoms (fractional coordinates):
K1 0.7151 0.6635 0.8583
S1 0.6895 0.9657 0.1348
S2 0.7614 0.7521 0.4839
S3 0.2386 0.2479 0.5161
Co1 0.0000 0.0000 0.0000
K2 0.2566 0.7778 0.5142
S4 0.7735 0.4768 0.1877
P1 0.8297 0.7359 0.2585
S5 0.2265 0.5232 0.8123
K3 0.2849 0.3365 0.1417
P2 0.1703 0.2641 0.7415
S6 0.1357 0.8092 0.1762
K4 0.7434 0.2222 0.4858
S7 0.8643 0.1908 0.8238
S8 0.3105 0.0343 0.8652

Summary:
DFT total energy: -67.330 eV per cell
M_tot: 0.999 μB per cell
Symmetry: P-1
Theoretical density: 2230 kg/m³

=====

The following is a GGA-PBE calculation of an optimized crystal structure of KPaCo, from the Open Quantum Materials Database.

Cell: 4.6956 4.6956 4.6956 Å, 60.00 60.00 60.00°
Atoms (fractional coordinates):
K1 0.2500 0.2500 0.2500
Pa1 0.7500 0.7500 0.7500
Co1 0.0000 0.0000 0.0000

Summary:
DFT total energy: -14.147 eV per cell
M_tot: 0.735 μB per cell
Distance to the lowest polymorph of the same formula: 0 meV per atom
Symmetry: F-43m
Theoretical density: 7464 kg/m³

=====

Q: Which of these has the lowest M_tot?
A: KPaCo

=====

Copy entry 1 word for word.
The following is a GGA-PBE calculation of an optimized crystal structure of KCo3P5, from the Open Quantum Materials Database.

Cell: 4.8393 4.8393 8.0259 Å, 90.00 90.00 120.00°
Atoms (fractional coordinates):
P1 0.6667 0.3333 0.2757
P2 0.6667 0.3333 0.7243
K1 0.0000 0.0000 0.0000
P3 0.3333 0.6667 0.2757
P4 0.3333 0.6667 0.7243
P5 0.0000 0.0000 0.5000
Co1 0.5000 0.0000 0.5000
Co2 0.5000 0.5000 0.5000
Co3 0.0000 0.5000 0.5000

Summary:
DFT total energy: -50.894 eV per cell
M_tot: 0.996 μB per cell
Symmetry: P6/mmm
Theoretical density: 3782 kg/m³

=====

Q: Among the records above, which one has the lowest DFT total energy?
A: K4CoP2S8

=====

Q: What is the M_tot in the third record?
A: 0.735 μB per cell